[1]
Here is crystalline CeScPa2As4 at its relaxed geometry from Alexandria via LeMat-Bulk. Energies are from GGA-PBE.

The volume is 192 Å³ per cell. For the calculated formation energy, the calculation gives -1.198 eV per atom. For the raw total energy, the calculation gives -7.430 eV per atom.

Cell lengths 7.0515, 4.0820, 7.0577 Å; angles 90.00, 109.49, 90.00 degrees
Closest atoms and distances in Å follow each position.
Space group P2/m (No. 10)
Symmetry-distinct sites (fractional):
Ce (0.0000, 0.0000, 0.0000) (multiplicity 1)  6 As 2.91
Sc (0.0000, 0.5000, 0.5000) (multiplicity 1)  6 As 2.82-2.84
Pa (0.5000, 0.0000, 0.5000) (multiplicity 1)  6 As 2.85-2.86
Pa (0.5000, 0.5000, 0.0000) (multiplicity 1)  6 As 2.93-2.94
As (0.2439, 0.0000, 0.7394) (multiplicity 2)  2 Sc 2.84, 3 Pa 2.85-2.93, 1 Ce 2.91
As (0.2493, 0.5000, 0.2593) (multiplicity 2)  1 Sc 2.82, 3 Pa 2.86-2.94, 2 Ce 2.91

***

[2]
Here is crystalline MgCdCo2Hg at its relaxed geometry from Alexandria via LeMat-Bulk. Energies are from GGA-PBE.

The volume is 119 Å³ per cell. For the calculated formation energy, the calculation gives 1.077 eV per atom. For the raw total energy, the calculation gives -2.328 eV per atom.

Cell lengths 4.8642, 4.8642, 5.0147 Å; angles 90.00, 90.00, 90.00 degrees
Closest atoms and distances in Å follow each position.
Space group P4/mmm (No. 123)
Symmetry-distinct sites (fractional):
Mg (0.0000, 0.0000, 0.0000) (multiplicity 1)  2 Hg 2.51
Cd (0.5000, 0.5000, 0.0000) (multiplicity 1)  4 Mg 3.44, 8 Co 3.49
Co (0.0000, 0.5000, 0.5000) (multiplicity 2)  2 Hg 2.43
Hg (0.0000, 0.0000, 0.5000) (multiplicity 1)  4 Co 2.43, 2 Mg 2.51

***

[3]
Here is crystalline Re2Ru2Cl at its relaxed geometry from Alexandria via LeMat-Bulk. Energies are from GGA-PBE.

For the uncorrected formation energy, the calculation gives 0.7016 eV per atom. The volume is 174 Å³ per cell. For the raw total energy, the calculation gives -8.357 eV per atom.

Cell lengths 3.6826, 3.6826, 12.8440 Å; angles 90.00, 90.00, 90.00 degrees
Closest atoms and distances in Å follow each position.
Space group I4/mmm (No. 139)
Symmetry-distinct sites (fractional):
Re (0.0000, 0.5000, 0.2500) (multiplicity 4)  4 Ru 2.59, 4 Re 2.60
Ru (0.0000, 0.0000, 0.1082) (multiplicity 4)  4 Re 2.59, 1 Ru 2.78
Cl (0.0000, 0.0000, 0.5000) (multiplicity 2)  8 Ru 2.95

***

[4]
Here is crystalline Pu2UZn at its relaxed geometry from Alexandria via LeMat-Bulk. Energies are from GGA-PBE.

The volume is 334 Å³ per cell. The value obtained for the energy relative to the lowest polymorph listed for this composition is 0.057 eV/atom. For the calculated formation energy, the calculation gives 0.208 eV per atom. For the raw total energy, the calculation gives -10.099 eV per atom.

Cell lengths 6.9403, 6.9403, 6.9403 Å; angles 90.00, 90.00, 90.00 degrees
Closest atoms and distances in Å follow each position.
Space group Fm-3m (No. 225)
Symmetry-distinct sites (fractional):
Pu (0.2500, 0.2500, 0.2500) (multiplicity 8)  4 U 3.01, 4 Zn 3.01
U (0.0000, 0.0000, 0.0000) (multiplicity 4)  8 Pu 3.01
Zn (0.0000, 0.0000, 0.5000) (multiplicity 4)  8 Pu 3.01

***

[5]
Here is crystalline ZnSiHg2 at its relaxed geometry from Alexandria via LeMat-Bulk. Energies are from GGA-PBE.

For the uncorrected formation energy, the calculation gives 0.3985 eV per atom. The volume is 85 Å³ per cell. The value obtained for the energy relative to the lowest polymorph listed for this composition is 0.161 eV/atom. For the raw total energy, the calculation gives -1.427 eV per atom.

Cell lengths 3.4137, 4.4474, 5.5782 Å; angles 90.00, 90.00, 90.00 degrees
Closest atoms and distances in Å follow each position.
Space group Pmmm (No. 47)
Symmetry-distinct sites (fractional):
Zn (0.0000, 0.0000, 0.0000) (multiplicity 1)  4 Hg 2.80
Si (0.5000, 0.0000, 0.5000) (multiplicity 1)  4 Hg 2.80
Hg (0.0000, 0.5000, 0.5000) (multiplicity 1)  4 Si 2.80
Hg (0.5000, 0.5000, 0.0000) (multiplicity 1)  4 Zn 2.80

***

[6]
Here is crystalline Ru2WBr at its relaxed geometry from Alexandria via LeMat-Bulk. Energies are from GGA-PBE.

For the uncorrected formation energy, the calculation gives 0.7703 eV per atom. The volume is 127 Å³ per cell. The value obtained for the energy relative to the lowest polymorph listed for this composition is 0.335 eV/atom. For the raw total energy, the calculation gives -7.524 eV per atom.

Cell lengths 9.2697, 2.9064, 4.7292 Å; angles 90.00, 93.14, 90.00 degrees
Closest atoms and distances in Å follow each position.
Space group C2/m (No. 12)
Symmetry-distinct sites (fractional):
Ru (0.2278, 0.0000, 0.2258) (multiplicity 4)  1 Br 2.54, 2 Ru 2.63, 3 W 2.73-2.79
W (0.0000, 0.5000, 0.0000) (multiplicity 2)  6 Ru 2.73-2.79, 4 Br 2.78, 2 W 2.91
Br (0.0000, 0.0000, 0.5000) (multiplicity 2)  2 Ru 2.54, 4 W 2.78

***

[7]
Here is crystalline CdIn2Au5 at its relaxed geometry from Alexandria via LeMat-Bulk. Energies are from GGA-PBE.

The volume is 314 Å³ per cell. For the calculated formation energy, the calculation gives -0.105 eV per atom. For the raw total energy, the calculation gives -2.953 eV per atom.

Cell lengths 6.6836, 6.6836, 7.0324 Å; angles 90.00, 90.00, 90.00 degrees
Closest atoms and distances in Å follow each position.
Space group I4mm (No. 107)
Symmetry-distinct sites (fractional):
Cd (0.0000, 0.0000, 0.0000) (multiplicity 2)  9 Au 2.85-2.98
In (0.0000, 0.5000, 0.0481) (multiplicity 4)  8 Au 2.94-2.97
Au (0.0000, 0.0000, 0.5945) (multiplicity 2)  1 Cd 2.85, 8 Au 2.97-2.99
Au (0.2241, 0.2241, 0.2953) (multiplicity 8)  4 In 2.94-2.97, 4 Au 2.97-3.00, 2 Cd 2.97-2.98

***

[8]
Here is crystalline TmTh2Te2P2 at its relaxed geometry from Alexandria via LeMat-Bulk. Energies are from GGA-PBE.

For the uncorrected formation energy, the calculation gives -1.0734 eV per atom. The volume is 406 Å³ per cell. For the raw total energy, the calculation gives -6.275 eV per atom.

Cell lengths 5.0437, 5.0437, 15.9487 Å; angles 90.00, 90.00, 90.00 degrees
Closest atoms and distances in Å follow each position.
Space group I4/mmm (No. 139)
Symmetry-distinct sites (fractional):
Tm (0.0000, 0.0000, 0.0000) (multiplicity 2)  4 P 2.52
Th (0.0000, 0.0000, 0.3925) (multiplicity 4)  4 P 3.05, 1 Te 3.25
Te (0.0000, 0.0000, 0.1886) (multiplicity 4)  1 Tm 3.01, 1 Th 3.25
P (0.0000, 0.5000, 0.0000) (multiplicity 4)  2 Tm 2.52